[1]
A geometry-optimized MgTa2Cu structure. Source: Alexandria, functional GGA-PBE.

Results
Formation energy = 242 meV/atom
Total DFT energy (no corrections) = -7.107 eV/atom
SG = No. 123

a = 2.813 Å, b = 2.813 Å, c = 8.640 Å
α = 90.00°, β = 90.00°, γ = 90.00°
Fractional coordinates of all 4 atoms:
Mg 0.000 0.000 0.000
Ta 0.500 0.500 0.279
Ta 0.500 0.500 0.721
Cu 0.000 0.000 0.500

---

[2]
A geometry-optimized MgTaCu2 structure. Source: Alexandria, functional GGA-PBE.

Results
Formation energy = 157 meV/atom
Total DFT energy (no corrections) = -5.253 eV/atom
SG = No. 166

a = 2.827 Å, b = 2.827 Å, c = 27.278 Å
α = 90.00°, β = 90.00°, γ = 120.00°
Fractional coordinates of all 12 atoms:
Mg 0.000 0.000 0.000
Mg 0.333 0.667 0.667
Mg 0.667 0.333 0.333
Ta 0.000 0.000 0.500
Ta 0.333 0.667 0.167
Ta 0.667 0.333 0.833
Cu 0.000 0.000 0.250
Cu 0.000 0.000 0.750
Cu 0.333 0.667 0.417
Cu 0.333 0.667 0.917
Cu 0.667 0.333 0.083
Cu 0.667 0.333 0.583

---

[3]
A geometry-optimized MgTaCu2 structure. Source: Alexandria, functional GGA-PBE.

Results
Formation energy = 231 meV/atom
Total DFT energy (no corrections) = -5.179 eV/atom
SG = No. 12

a = 8.724 Å, b = 2.694 Å, c = 5.477 Å
α = 90.00°, β = 96.34°, γ = 90.00°
Fractional coordinates of all 8 atoms:
Mg 0.000 0.000 0.000
Mg 0.500 0.500 0.000
Ta 0.000 0.500 0.500
Ta 0.500 0.000 0.500
Cu 0.249 0.000 0.725
Cu 0.251 0.500 0.275
Cu 0.749 0.500 0.725
Cu 0.751 0.000 0.275

---

[4]
A geometry-optimized MgTa2Cu structure. Source: Alexandria, functional GGA-PBE.

Results
Formation energy = 257 meV/atom
Total DFT energy (no corrections) = -7.092 eV/atom
SG = No. 47

a = 3.167 Å, b = 4.413 Å, c = 4.894 Å
α = 90.00°, β = 90.00°, γ = 90.00°
Fractional coordinates of all 4 atoms:
Mg 0.000 0.000 0.000
Ta 0.000 0.500 0.500
Ta 0.500 0.000 0.500
Cu 0.500 0.500 0.000

---

[5]
A geometry-optimized MgTaCu2 structure. Source: Alexandria, functional GGA-PBE.

Results
Formation energy = 392 meV/atom
Total DFT energy (no corrections) = -5.018 eV/atom
SG = No. 119

a = 4.033 Å, b = 4.033 Å, c = 7.442 Å
α = 90.00°, β = 90.00°, γ = 90.00°
Fractional coordinates of all 8 atoms:
Mg 0.000 0.000 0.000
Mg 0.500 0.500 0.500
Ta 0.000 0.500 0.750
Ta 0.500 0.000 0.250
Cu 0.000 0.000 0.500
Cu 0.000 0.500 0.250
Cu 0.500 0.000 0.750
Cu 0.500 0.500 0.000

---

[6]
A geometry-optimized MgTa2Cu2 structure. Source: Alexandria, functional GGA-PBE.

Results
Polymorph energy (0 for the lowest one) = 116 meV/atom
Formation energy = 350 meV/atom
Total DFT energy (no corrections) = -6.348 eV/atom
SG = No. 139

a = 3.895 Å, b = 3.895 Å, c = 11.743 Å
α = 90.00°, β = 90.00°, γ = 90.00°
Fractional coordinates of all 10 atoms:
Mg 0.000 0.000 0.000
Mg 0.500 0.500 0.500
Ta 0.000 0.500 0.250
Ta 0.000 0.500 0.750
Ta 0.500 0.000 0.250
Ta 0.500 0.000 0.750
Cu 0.000 0.000 0.404
Cu 0.000 0.000 0.596
Cu 0.500 0.500 0.096
Cu 0.500 0.500 0.904

---

[7]
A geometry-optimized MgTa2Cu structure. Source: Alexandria, functional GGA-PBE.

Results
Formation energy = 503 meV/atom
Total DFT energy (no corrections) = -6.846 eV/atom
SG = No. 216

a = 6.516 Å, b = 6.516 Å, c = 6.516 Å
α = 90.00°, β = 90.00°, γ = 90.00°
Fractional coordinates of all 16 atoms:
Mg 0.000 0.000 0.000
Mg 0.000 0.500 0.500
Mg 0.500 0.000 0.500
Mg 0.500 0.500 0.000
Ta 0.000 0.000 0.500
Ta 0.000 0.500 0.000
Ta 0.250 0.250 0.750
Ta 0.250 0.750 0.250
Ta 0.500 0.000 0.000
Ta 0.500 0.500 0.500
Ta 0.750 0.250 0.250
Ta 0.750 0.750 0.750
Cu 0.250 0.250 0.250
Cu 0.250 0.750 0.750
Cu 0.750 0.250 0.750
Cu 0.750 0.750 0.250

---

[8]
A geometry-optimized MgTaCu2 structure. Source: Alexandria, functional GGA-PBE.

Results
Formation energy = 119 meV/atom
Total DFT energy (no corrections) = -5.291 eV/atom
SG = No. 6

a = 2.783 Å, b = 4.295 Å, c = 5.299 Å
α = 90.00°, β = 105.10°, γ = 90.00°
Fractional coordinates of all 4 atoms:
Mg 0.000 0.000 0.000
Ta 0.684 0.500 0.363
Cu 0.270 0.000 0.540
Cu 0.414 0.500 0.830